! RbPmMnO3 (GGA+U, relaxed); values from VASP
! * calculated density: 4.7 g cm⁻³
! * E_tot: -82.12 eV for the cell shown
&SYSTEM
  ibrav = 0, nat = 12, ntyp = 4
/
ATOMIC_SPECIES
Rb 85.47 Rb.upf
Pm 145.00 Pm.upf
Mn 54.94 Mn.upf
O 16.00 O.upf
ATOMIC_POSITIONS angstrom
Rb 2.401 6.672 3.554
Rb 3.790 2.297 0.999
Pm -0.059 4.708 0.905
Pm 0.000 0.000 0.000
Mn 5.651 6.977 2.179
Mn 0.541 1.992 2.374
O 1.090 3.849 2.814
O 5.101 5.119 1.738
O 5.054 8.851 2.456
O 1.137 0.118 2.097
O 0.264 7.057 1.408
O 5.928 1.912 3.144
CELL_PARAMETERS angstrom
-0.526 -0.699 3.603
6.836 0.251 -0.861
-0.118 9.417 1.811